Entry from the Alexandria database: an optimized crystal structure of MgZnW (PBE-GGA).

Geometry as POSCAR:
```
MgZnW
1.0
4.2684 0.0000 0.0000
2.1342 3.6965 0.0000
2.1342 1.2322 3.4851
Mg W Zn
1 1 1
Direct
0.0000 0.0000 0.0000
0.5000 0.5000 0.5000
0.2500 0.2500 0.2500
```

Calculated values
**Formation energy**: 1027 meV/atom
**DOS(E_F)**: 3.02 states/eV/f.u.
**Spin magnetization**: 0.0 μB/cell
**Distance to the lowest polymorph of the same formula**: 0.768 eV/atom